# 1
KW2Se2, relaxed, DFT PBE; ΔE_f (raw) = 600 meV per atom; SG = P4/mbm; crystal system = tetragonal
1.0
8.4411 0.0000 0.0000
0.0000 8.4411 0.0000
0.0000 0.0000 3.1732
K Se W
2 4 4
Cartesian
0.0000 0.0000 0.0000
4.2205 4.2205 0.0000
2.8854 7.1059 0.0000
7.1059 5.5557 0.0000
5.5557 1.3351 0.0000
1.3351 2.8854 0.0000
0.8131 5.0336 1.5866
5.0336 7.6280 1.5866
7.6280 3.4074 1.5866
3.4074 0.8131 1.5866


# 2
K3WSe, relaxed, DFT PBE; ΔE_f (raw) = 698 meV per atom; SG = Pm-3m; crystal system = cubic
1.0
-4.7974 3.8963 0.9361
-3.1301 -2.7319 -4.6703
-2.5020 -4.0532 4.0477
K Se W
3 1 1
Cartesian
-1.5650 -1.3659 -2.3352
-1.2510 -2.0266 2.0239
-2.3987 1.9481 0.4681
0.0000 0.0000 0.0000
-5.2147 -1.4444 0.1568


# 3
K2WSe, relaxed, DFT PBE; ΔE_f (raw) = 621 meV per atom; SG = Pm; crystal system = monoclinic
1.0
-0.1732 -0.7110 4.1665
3.3164 -0.0651 0.1267
1.0765 9.7856 1.7145
K Se W
2 1 1
Cartesian
1.1224 9.0243 1.5865
0.9663 3.0503 2.7082
2.7387 5.4021 1.0356
2.6653 6.1788 3.3126


# 4
KW3Se, relaxed, DFT PBE; ΔE_f (raw) = 1982 meV per atom; SG = Pm-3m; crystal system = cubic
1.0
-1.9714 4.2537 -0.8474
-3.5465 -2.1168 -2.3750
-2.4969 -0.3520 4.0423
K Se W
1 1 3
Cartesian
-4.0074 0.8925 0.4100
0.0000 0.0000 0.0000
-1.7733 -1.0584 -1.1875
-1.2485 -0.1760 2.0212
-0.9857 2.1269 -0.4237


# 5
K2WSe, relaxed, DFT PBE; ΔE_f (raw) = 861 meV per atom; SG = P4/mmm; crystal system = tetragonal
1.0
-0.8697 -2.7265 3.5298
1.7068 -3.5252 -2.3024
5.2233 1.1223 2.1539
K Se W
2 1 1
Cartesian
0.0451 0.0097 0.0186
2.5665 0.5514 1.0583
1.7244 -2.8453 1.1522
4.3360 -2.2841 2.2291


# 6
K2WSe, relaxed, DFT PBE; ΔE_f (raw) = 956 meV per atom; SG = I4/mmm; crystal system = tetragonal
1.0
-0.6054 -0.9484 -6.0813
3.0196 -3.1481 -4.3841
-2.0128 -4.0100 -0.8982
K Se W
2 1 1
Cartesian
-2.0122 -4.0108 -0.9004
0.2002 -4.0525 -5.6797
0.3010 -6.0799 -8.5227
0.1003 -2.0266 -2.8409


# 7
K2WSe, relaxed, DFT PBE; ΔE_f (raw) = 571 meV per atom; SG = Imm2; crystal system = orthorhombic
1.0
6.4635 0.0252 -0.0038
1.7407 6.2247 0.0038
-3.5261 -3.8811 3.7790
K Se W
2 1 1
Cartesian
0.3478 0.2650 0.0000
3.3428 -0.5003 1.8876
3.0388 2.3150 0.0000
2.0508 3.4141 1.8914


# 8
K2WSe, relaxed, DFT PBE; ΔE_f (raw) = 739 meV per atom; SG = P4/mmm; crystal system = tetragonal
1.0
2.9412 0.0000 0.0000
0.0000 2.9412 0.0000
0.0000 0.0000 11.1330
K Se W
2 1 1
Cartesian
0.0000 0.0000 0.2117
0.0000 0.0000 5.3548
1.4706 1.4706 2.7833
1.4706 1.4706 8.3498


What did we get for size of the total moment? Answer: 0.000; 5.000; 0.931; 0.000; 4.154; 3.994; 2.662; 0.675 Bohr magnetons per cell, in the order shown.
What did we get for theoretical density? Answer: 8.29; 2.58; 4.05; 10.28; 4.76; 5.14; 3.73; 5.88 g/cm3, in the order shown.